1.
Below is crystalline Na3U3TaN8 at its relaxed geometry, with properties calculated at the PBE-GGA level.

Values from the calculation:
formation energy from raw total energies: -1.000 eV/atom
total DFT energy (no corrections): -8.752 eV/atom
crystal system: trigonal

CIF file:
```
data_Na3U3TaN8
_space_group_name_H-M_alt 'R -3 m'
_space_group_IT_number 166
_space_group_name_Hall '-R 3 2"'
_cell_length_a 6.7988
_cell_length_b 6.7988
_cell_length_c 17.1995
_cell_angle_alpha 90.00
_cell_angle_beta 90.00
_cell_angle_gamma 120.00
loop_
_atom_site_label
_atom_site_fract_x
_atom_site_fract_y
_atom_site_fract_z
Na1 0.0000 0.5000 0.0000
U1 0.0000 0.5000 0.5000
Ta1 0.0000 0.0000 0.5000
N1 0.0000 0.0000 0.2294
N2 0.0114 0.5057 0.2251
```

***

2.
Below is crystalline Na3UTa2N6 at its relaxed geometry, with properties calculated at the PBE-GGA level.

Values from the calculation:
formation energy from raw total energies: -0.948 eV/atom
total DFT energy (no corrections): -8.356 eV/atom
crystal system: monoclinic

CIF file:
```
data_Na3UTa2N6
_space_group_name_H-M_alt 'C 1 2/m 1'
_space_group_IT_number 12
_space_group_name_Hall '-C 2y'
_cell_length_a 5.641
_cell_length_b 9.768
_cell_length_c 6.001
_cell_angle_alpha 90.00
_cell_angle_beta 108.19
_cell_angle_gamma 90.00
loop_
_atom_site_label
_atom_site_fract_x
_atom_site_fract_y
_atom_site_fract_z
Na1 0.000 0.000 0.000
Na2 0.000 0.330 0.000
U1 0.000 0.500 0.500
Ta1 0.000 0.166 0.500
N1 0.221 0.000 0.689
N2 0.234 0.329 0.689
```

***

3.
Below is crystalline Na2TaVN4 at its relaxed geometry, with properties calculated at the PBE-GGA level.

Values from the calculation:
formation energy from raw total energies: -0.768 eV/atom
total DFT energy (no corrections): -7.882 eV/atom
crystal system: orthorhombic

CIF file:
```
data_Na2TaVN4
_space_group_name_H-M_alt 'P m n 21'
_space_group_IT_number 31
_space_group_name_Hall 'P 2ac -2'
_cell_length_a 6.484
_cell_length_b 6.558
_cell_length_c 5.528
_cell_angle_alpha 90.00
_cell_angle_beta 90.00
_cell_angle_gamma 90.00
loop_
_atom_site_label
_atom_site_fract_x
_atom_site_fract_y
_atom_site_fract_z
Na1 0.250 0.161 0.000
Ta1 0.000 0.356 0.485
V1 0.000 0.657 0.984
N1 0.000 0.415 0.140
N2 0.000 0.610 0.664
N3 0.243 0.795 0.051
```